Compound: BaBe4Nb3O12
Source: Alexandria
Functional: PBE-GGA
Structure: relaxed

Cell: 6.5114 6.5114 6.5114 Å, 104.69 104.69 104.69°
Element x y z (fractional)
Ba: 0.0000 0.0000 0.0000
Be: 0.0557 0.5000 0.9443
Be: 0.5000 0.5000 0.5000
Be: 0.5000 0.9443 0.0557
Be: 0.9443 0.0557 0.5000
Nb: 0.0000 0.5511 0.4489
Nb: 0.4489 0.0000 0.5511
Nb: 0.5511 0.4489 0.0000
O: 0.0235 0.6105 0.7603
O: 0.0945 0.9055 0.5000
O: 0.2397 0.3895 0.9765
O: 0.3468 0.6532 0.5000
O: 0.3895 0.9765 0.2397
O: 0.5000 0.0945 0.9055
O: 0.5000 0.3468 0.6532
O: 0.6105 0.7603 0.0235
O: 0.6532 0.5000 0.3468
O: 0.7603 0.0235 0.6105
O: 0.9055 0.5000 0.0945
O: 0.9765 0.2397 0.3895

Results
Energy relative to the elements, uncorrected, eV/atom: -2.5811
E_tot, eV per atom: -7.908
Size of the total moment, μB per formula unit: 1.081
Crystal system: trigonal